<w>
YHgTe2: relaxed, PBE-GGA.

Output
The mass density is 6.7 g/cm3. For the spin magnetization, the calculation gives 0.000 μB per atom. The volume is 542.4 Å³ per cell.

Cell: 10.9218 5.9773 8.3089 Å, 90.00 90.00 90.00°
Space group Pnma (No. 62)
Inequivalent atoms, fractional coordinates:
Y  0.0549  0.2500  0.1833 [4 per cell]
Hg  0.2146  0.2500  0.5142 [4 per cell]
Te  0.0221  0.7500  0.1665 [4 per cell]
Te  0.1737  0.7500  0.5961 [4 per cell]

<x>
YHgTe2: relaxed, PBE-GGA.

Output
The mass density is 6.2 g/cm3. For the spin magnetization, the calculation gives 0.000 μB per atom. The volume is 586.5 Å³ per cell.

Cell: 5.9548 22.1908 4.4384 Å, 90.00 90.00 90.00°
Space group Cmcm (No. 63)
Inequivalent atoms, fractional coordinates:
Y  0.0000  0.1869  0.2500 [4 per cell]
Hg  0.0000  0.4124  0.2500 [4 per cell]
Te  0.0000  0.0880  0.7500 [4 per cell]
Te  0.0000  0.2879  0.7500 [4 per cell]

<y>
YHgTe2: relaxed, PBE-GGA.

Output
The mass density is 6.4 g/cm3. For the spin magnetization, the calculation gives 0.000 μB per atom. The volume is 284.6 Å³ per cell.

Cell: 4.3380 6.1618 10.9959 Å, 104.48 90.25 90.00°
Space group P1 (No. 1)
Inequivalent atoms, fractional coordinates:
Y  0.0000  0.0000  0.0000 [1 per cell]
Y  0.4961  0.4088  0.7798 [1 per cell]
Hg  0.4854  0.5492  0.4870 [1 per cell]
Hg  0.4976  0.8501  0.3479 [1 per cell]
Te  0.4974  0.9139  0.7899 [1 per cell]
Te  0.5024  0.1489  0.1996 [1 per cell]
Te  0.9934  0.2835  0.5688 [1 per cell]
Te  0.9988  0.4989  0.9876 [1 per cell]

<z>
YHgTe2: relaxed, PBE-GGA.

Output
The mass density is 5.6 g/cm3. For the spin magnetization, the calculation gives 0.000 μB per atom. The volume is 481.1 Å³ per cell.

Cell: 4.4756 4.4756 27.7318 Å, 90.00 90.00 120.00°
Space group R-3m (No. 166, hexagonal axes)
Inequivalent atoms, fractional coordinates:
Y  0.0000  0.0000  0.0000 [3 per cell]
Hg  0.0000  0.0000  0.5000 [3 per cell]
Te  0.0000  0.0000  0.3939 [6 per cell]

Stability, lowest: <w>

<w>
YHgTe2: relaxed, PBE-GGA.

Output
The mass density is 6.2 g/cm3. For the spin magnetization, the calculation gives 0.000 μB per atom. The volume is 435.3 Å³ per cell.

Cell: 4.2400 4.2400 27.9604 Å, 90.00 90.00 120.00°
Space group R-3m (No. 166, hexagonal axes)
Inequivalent atoms, fractional coordinates:
Y  0.0000  0.0000  0.0000 [3 per cell]
Hg  0.0000  0.0000  0.5000 [3 per cell]
Te  0.0000  0.0000  0.1045 [6 per cell]

<x>
YHgTe2: relaxed, PBE-GGA.

Output
The mass density is 6.3 g/cm3. For the spin magnetization, the calculation gives 0.000 μB per atom. The volume is 143.9 Å³ per cell.

Cell: 4.4497 4.4497 8.3896 Å, 90.00 90.00 120.00°
Space group P3m1 (No. 156)
Inequivalent atoms, fractional coordinates:
Y  0.0000  0.0000  0.0000 [1 per cell]
Hg  0.3333  0.6667  0.4470 [1 per cell]
Te  0.3333  0.6667  0.8027 [1 per cell]
Te  0.6667  0.3333  0.2136 [1 per cell]

Stability, lowest: <w>

<w>
YHgTe2: relaxed, PBE-GGA.

Output
The mass density is 7.4 g/cm3. For the spin magnetization, the calculation gives 0.000 μB per atom. The volume is 123.0 Å³ per cell.

Cell: 4.3482 4.3482 6.5041 Å, 90.00 90.00 90.00°
Space group P4/mmm (No. 123)
Inequivalent atoms, fractional coordinates:
Y  0.0000  0.0000  0.0000 [1 per cell]
Hg  0.5000  0.5000  0.5000 [1 per cell]
Te  0.0000  0.0000  0.5000 [1 per cell]
Te  0.5000  0.5000  0.0000 [1 per cell]

<x>
YHgTe2: relaxed, PBE-GGA.

Output
The mass density is 7.1 g/cm3. For the spin magnetization, the calculation gives 0.000 μB per atom. The volume is 509.8 Å³ per cell.

Cell: 14.8741 4.3157 10.0141 Å, 90.00 127.52 90.00°
Space group Cm (No. 8)
Inequivalent atoms, fractional coordinates:
Y  0.0000  0.0000  0.0000 [2 per cell]
Y  0.1238  0.5000  0.6451 [2 per cell]
Hg  0.2505  0.5000  0.4193 [2 per cell]
Hg  0.3880  0.0000  0.2919 [2 per cell]
Te  0.0996  0.0000  0.3864 [2 per cell]
Te  0.1713  0.5000  0.0759 [2 per cell]
Te  0.3158  0.0000  0.8824 [2 per cell]
Te  0.4841  0.5000  0.6757 [2 per cell]

Stability, lowest: <w>

<w>
YHgTe2: relaxed, PBE-GGA.

Output
The mass density is 6.4 g/cm3. For the spin magnetization, the calculation gives 0.000 μB per atom. The volume is 283.3 Å³ per cell.

Cell: 4.3858 6.1701 10.9212 Å, 106.30 91.20 92.18°
Space group P-1 (No. 2)
Inequivalent atoms, fractional coordinates:
Y  0.2338  0.1998  0.3909 [2 per cell]
Hg  0.0962  0.6473  0.9383 [2 per cell]
Te  0.2472  0.6999  0.3968 [2 per cell]
Te  0.2851  0.9552  0.8136 [2 per cell]

<x>
YHgTe2: relaxed, PBE-GGA.

Output
The mass density is 7.5 g/cm3. For the spin magnetization, the calculation gives 0.000 μB per atom. The volume is 479.2 Å³ per cell.

Cell: 8.3677 4.2599 13.4440 Å, 90.00 90.00 90.00°
Space group Pnma (No. 62)
Inequivalent atoms, fractional coordinates:
Y  0.1623  0.2500  0.1543 [4 per cell]
Hg  0.0967  0.7500  0.4574 [4 per cell]
Te  0.0692  0.2500  0.7360 [4 per cell]
Te  0.1508  0.7500  0.9817 [4 per cell]

<y>
YHgTe2: relaxed, PBE-GGA.

Output
The mass density is 6.9 g/cm3. For the spin magnetization, the calculation gives 0.000 μB per atom. The volume is 395.4 Å³ per cell.

Cell: 4.4011 4.4011 23.5723 Å, 90.00 90.00 120.00°
Space group R3m (No. 160, hexagonal axes)
Inequivalent atoms, fractional coordinates:
Y  0.0000  0.0000  0.0000 [3 per cell]
Hg  0.0000  0.0000  0.1665 [3 per cell]
Te  0.0000  0.0000  0.4067 [3 per cell]
Te  0.0000  0.0000  0.5904 [3 per cell]

<z>
YHgTe2: relaxed, PBE-GGA.

Output
The mass density is 7.0 g/cm3. For the spin magnetization, the calculation gives 0.000 μB per atom. The volume is 517.2 Å³ per cell.

Cell: 7.3308 4.4669 15.7956 Å, 90.00 90.00 90.00°
Space group Pnma (No. 62)
Inequivalent atoms, fractional coordinates:
Y  0.0640  0.2500  0.1082 [4 per cell]
Hg  0.2348  0.7500  0.3291 [4 per cell]
Te  0.0466  0.7500  0.7050 [4 per cell]
Te  0.2464  0.2500  0.5172 [4 per cell]

Stability, lowest: <z>

<w>
YHgTe: relaxed, PBE-GGA.

Output
The mass density is 7.2 g/cm3. For the spin magnetization, the calculation gives 0.002 μB per atom. The volume is 383.6 Å³ per cell.

Cell: 7.2660 7.2660 7.2660 Å, 90.00 90.00 90.00°
Space group F-43m (No. 216)
Inequivalent atoms, fractional coordinates:
Y  0.0000  0.0000  0.0000 [4 per cell]
Hg  0.2500  0.2500  0.7500 [4 per cell]
Te  0.2500  0.2500  0.2500 [4 per cell]

<x>
YHgTe: relaxed, PBE-GGA.

Output
The mass density is 8.0 g/cm3. For the spin magnetization, the calculation gives 0.056 μB per atom. The volume is 86.8 Å³ per cell.

Cell: 4.9472 4.9472 4.0962 Å, 90.00 90.00 120.00°
Space group P3m1 (No. 156)
Inequivalent atoms, fractional coordinates:
Y  0.0000  0.0000  0.0000 [1 per cell]
Hg  0.6667  0.3333  0.2918 [1 per cell]
Te  0.3333  0.6667  0.6431 [1 per cell]

<y>
YHgTe: relaxed, PBE-GGA.

Output
The mass density is 7.1 g/cm3. For the spin magnetization, the calculation gives 0.000 μB per atom. The volume is 98.1 Å³ per cell.

Cell: 4.2298 4.2298 6.3326 Å, 90.00 90.00 120.00°
Space group P3m1 (No. 156)
Inequivalent atoms, fractional coordinates:
Y  0.0000  0.0000  0.0000 [1 per cell]
Hg  0.6667  0.3333  0.3159 [1 per cell]
Te  0.3333  0.6667  0.7239 [1 per cell]

<z>
YHgTe: relaxed, PBE-GGA.

Output
The mass density is 7.0 g/cm3. For the spin magnetization, the calculation gives 0.000 μB per atom. The volume is 594.1 Å³ per cell.

Cell: 4.8204 4.8204 29.5235 Å, 90.00 90.00 120.00°
Space group R-3m (No. 166, hexagonal axes)
Inequivalent atoms, fractional coordinates:
Y  0.0000  0.0000  0.0636 [6 per cell]
Hg  0.0000  0.0000  0.3304 [6 per cell]
Te  0.0000  0.0000  0.2240 [6 per cell]

Stability, lowest: <x>